A plane-wave DFT calculation with PBE+U was carried out for an optimized crystal structure of MgCoF2.

Properties
calculated volume	12.4	Å³ per atom
distance to the lowest polymorph of the same formula	877	meV/atom
raw total energy	-3.708	eV per atom

```
data_MgCoF2
_space_group_name_H-M_alt 'F m -3 m'
_space_group_IT_number 225
_space_group_name_Hall '-F 4 2 3'
_cell_length_a 5.834
_cell_length_b 5.834
_cell_length_c 5.834
_cell_angle_alpha 90.00
_cell_angle_beta 90.00
_cell_angle_gamma 90.00
loop_
_atom_site_label
_atom_site_type_symbol
_atom_site_fract_x
_atom_site_fract_y
_atom_site_fract_z
_atom_site_occupancy
Mg1 Mg 0.000 0.000 0.000 1
Co1 Co 0.000 0.000 0.500 1
F1 F 0.250 0.250 0.250 1
```

---

A plane-wave DFT calculation with PBE+U was carried out for an optimized crystal structure of Mg3CoF.

Properties
calculated volume	16.5	Å³ per atom
distance to the lowest polymorph of the same formula	0	meV/atom
raw total energy	-2.950	eV per atom

```
data_Mg3CoF
_space_group_name_H-M_alt 'P m -3 m'
_space_group_IT_number 221
_space_group_name_Hall '-P 4 2 3'
_cell_length_a 4.351
_cell_length_b 4.351
_cell_length_c 4.351
_cell_angle_alpha 90.00
_cell_angle_beta 90.00
_cell_angle_gamma 90.00
loop_
_atom_site_label
_atom_site_type_symbol
_atom_site_fract_x
_atom_site_fract_y
_atom_site_fract_z
_atom_site_occupancy
Mg1 Mg 0.000 0.000 0.500 1
Co1 Co 0.500 0.500 0.500 1
F1 F 0.000 0.000 0.000 1
```

---

A plane-wave DFT calculation with PBE+U was carried out for an optimized crystal structure of MgCoF.

Properties
calculated volume	15.4	Å³ per atom
distance to the lowest polymorph of the same formula	1111	meV/atom
raw total energy	-3.086	eV per atom

```
data_MgCoF
_space_group_name_H-M_alt 'F -4 3 m'
_space_group_IT_number 216
_space_group_name_Hall 'F -4 2 3'
_cell_length_a 5.701
_cell_length_b 5.701
_cell_length_c 5.701
_cell_angle_alpha 90.00
_cell_angle_beta 90.00
_cell_angle_gamma 90.00
loop_
_atom_site_label
_atom_site_type_symbol
_atom_site_fract_x
_atom_site_fract_y
_atom_site_fract_z
_atom_site_occupancy
Mg1 Mg 0.000 0.000 0.000 1
Co1 Co 0.000 0.000 0.500 1
F1 F 0.250 0.250 0.750 1
```

---

A plane-wave DFT calculation with PBE+U was carried out for an optimized crystal structure of MgCoF.

Properties
calculated volume	15.9	Å³ per atom
distance to the lowest polymorph of the same formula	434	meV/atom
raw total energy	-3.763	eV per atom

```
data_MgCoF
_space_group_name_H-M_alt 'P n m a'
_space_group_IT_number 62
_space_group_name_Hall '-P 2ac 2n'
_cell_length_a 4.773
_cell_length_b 3.217
_cell_length_c 12.430
_cell_angle_alpha 90.00
_cell_angle_beta 90.00
_cell_angle_gamma 90.00
loop_
_atom_site_label
_atom_site_type_symbol
_atom_site_fract_x
_atom_site_fract_y
_atom_site_fract_z
_atom_site_occupancy
Mg1 Mg 0.239 0.250 0.067 1
Co1 Co 0.191 0.250 0.291 1
F1 F 0.017 0.250 0.923 1
```